The following is a DFT calculation (PBE) of an optimized crystal structure of ZrTlZn2.

Cell lengths 3.251, 3.251, 7.403 Å; angles 90.00, 90.00, 90.00 degrees
Element x y z (fractional)
Zr 0.000 0.000 0.000
Tl 0.500 0.500 0.310
Zn 0.000 0.000 0.584
Zn 0.500 0.500 0.761

The space-group type is P4mm (99). The energy of formation from the pure elements is -12 meV per atom. The calculation puts the energy relative to the lowest polymorph listed for this composition at 0.1341 eV/atom.